# 1
BaZrI3 | PBE-GGA | relaxed

Computed properties:
energy relative to the lowest polymorph listed for this composition	0	meV/atom
volume	197.2	Å³ per cell
ΔE_f (raw)	-0.69	eV per atom
M_tot	2.165	μB/cell

CIF file:
```
data_BaZrI3
_cell_length_a 5.820
_cell_length_b 5.820
_cell_length_c 5.820
_cell_angle_alpha 90.00
_cell_angle_beta 90.00
_cell_angle_gamma 90.00
_space_group_name_H-M_alt 'P m -3 m'
_space_group_IT_number 221
_space_group_name_Hall '-P 4 2 3'
loop_
_atom_site_label
_atom_site_type_symbol
_atom_site_fract_x
_atom_site_fract_y
_atom_site_fract_z
_atom_site_occupancy
Ba1 Ba 0.000 0.000 0.000 1
Zr1 Zr 0.500 0.500 0.500 1
I1 I 0.000 0.500 0.500 1
```

---

# 2
Ba2ZrI | PBE-GGA | relaxed

Computed properties:
energy relative to the lowest polymorph listed for this composition	0	meV/atom
volume	670.3	Å³ per cell
ΔE_f (raw)	0.18	eV per atom
M_tot	18.023	μB/cell

CIF file:
```
data_Ba2ZrI
_cell_length_a 8.752
_cell_length_b 8.752
_cell_length_c 8.752
_cell_angle_alpha 90.00
_cell_angle_beta 90.00
_cell_angle_gamma 90.00
_space_group_name_H-M_alt 'F m -3 m'
_space_group_IT_number 225
_space_group_name_Hall '-F 4 2 3'
loop_
_atom_site_label
_atom_site_type_symbol
_atom_site_fract_x
_atom_site_fract_y
_atom_site_fract_z
_atom_site_occupancy
Ba1 Ba 0.250 0.250 0.250 1
Zr1 Zr 0.000 0.000 0.000 1
I1 I 0.000 0.000 0.500 1
```

---

# 3
BaIn2 | PBE-GGA | relaxed

Computed properties:
volume	404.9	Å³ per cell
M_tot	0.000	μB/cell

CIF file:
```
data_BaIn2
_cell_length_a 4.887
_cell_length_b 15.883
_cell_length_c 5.217
_cell_angle_alpha 90.00
_cell_angle_beta 90.00
_cell_angle_gamma 90.00
_space_group_name_H-M_alt 'C m c m'
_space_group_IT_number 63
_space_group_name_Hall '-C 2c 2'
loop_
_atom_site_label
_atom_site_type_symbol
_atom_site_fract_x
_atom_site_fract_y
_atom_site_fract_z
_atom_site_occupancy
Ba1 Ba 0.000 0.090 0.250 1
In1 In 0.000 0.250 0.750 1
In2 In 0.000 0.372 0.250 1
```

---

# 4
BaIn2 | PBE-GGA | relaxed

Computed properties:
volume	399.8	Å³ per cell
M_tot	0.000	μB/cell

CIF file:
```
data_BaIn2
_cell_length_a 12.247
_cell_length_b 5.321
_cell_length_c 8.630
_cell_angle_alpha 90.00
_cell_angle_beta 134.68
_cell_angle_gamma 90.00
_space_group_name_H-M_alt 'C 1 2/m 1'
_space_group_IT_number 12
_space_group_name_Hall '-C 2y'
loop_
_atom_site_label
_atom_site_type_symbol
_atom_site_fract_x
_atom_site_fract_y
_atom_site_fract_z
_atom_site_occupancy
Ba1 Ba 0.047 0.000 0.297 1
In1 In 0.161 0.500 0.095 1
In2 In 0.161 0.500 0.728 1
```

---

# 5
BaIn3 | PBE-GGA | relaxed

Computed properties:
volume	253.9	Å³ per cell
M_tot	0.000	μB/cell

CIF file:
```
data_BaIn3
_cell_length_a 5.347
_cell_length_b 5.347
_cell_length_c 8.883
_cell_angle_alpha 90.00
_cell_angle_beta 90.00
_cell_angle_gamma 90.00
_space_group_name_H-M_alt 'I 4/m m m'
_space_group_IT_number 139
_space_group_name_Hall '-I 4 2'
loop_
_atom_site_label
_atom_site_type_symbol
_atom_site_fract_x
_atom_site_fract_y
_atom_site_fract_z
_atom_site_occupancy
Ba1 Ba 0.000 0.000 0.000 1
In1 In 0.000 0.000 0.500 1
In2 In 0.000 0.500 0.250 1
```

---

# 6
Ba5In2 | PBE-GGA | relaxed

Computed properties:
energy relative to the lowest polymorph listed for this composition	26	meV/atom
volume	1334.7	Å³ per cell
M_tot	0.016	μB/cell

CIF file:
```
data_Ba5In2
_cell_length_a 18.880
_cell_length_b 8.657
_cell_length_c 8.169
_cell_angle_alpha 90.00
_cell_angle_beta 91.76
_cell_angle_gamma 90.00
_space_group_name_H-M_alt 'C 1 2/c 1'
_space_group_IT_number 15
_space_group_name_Hall '-C 2yc'
loop_
_atom_site_label
_atom_site_type_symbol
_atom_site_fract_x
_atom_site_fract_y
_atom_site_fract_z
_atom_site_occupancy
Ba1 Ba 0.000 0.013 0.250 1
Ba2 Ba 0.086 0.357 0.981 1
Ba3 Ba 0.229 0.027 0.266 1
In1 In 0.113 0.245 0.519 1
```

---

# 7
Ba4In5 | PBE-GGA | relaxed

Computed properties:
energy relative to the lowest polymorph listed for this composition	9	meV/atom
volume	678.6	Å³ per cell
M_tot	1.411	μB/cell

CIF file:
```
data_Ba4In5
_cell_length_a 11.153
_cell_length_b 11.153
_cell_length_c 5.456
_cell_angle_alpha 90.00
_cell_angle_beta 90.00
_cell_angle_gamma 90.00
_space_group_name_H-M_alt 'I 4/m m m'
_space_group_IT_number 139
_space_group_name_Hall '-I 4 2'
loop_
_atom_site_label
_atom_site_type_symbol
_atom_site_fract_x
_atom_site_fract_y
_atom_site_fract_z
_atom_site_occupancy
Ba1 Ba 0.000 0.304 0.000 1
In1 In 0.000 0.000 0.000 1
In2 In 0.146 0.146 0.500 1
```

---

# 8
Ba2In3 | PBE-GGA | relaxed

Computed properties:
energy relative to the lowest polymorph listed for this composition	73	meV/atom
volume	599.6	Å³ per cell
M_tot	0.000	μB/cell

CIF file:
```
data_Ba2In3
_cell_length_a 5.0538
_cell_length_b 5.0538
_cell_length_c 27.1066
_cell_angle_alpha 90.00
_cell_angle_beta 90.00
_cell_angle_gamma 120.00
_space_group_name_H-M_alt 'R -3 m'
_space_group_IT_number 166
_space_group_name_Hall '-R 3 2"'
loop_
_atom_site_label
_atom_site_type_symbol
_atom_site_fract_x
_atom_site_fract_y
_atom_site_fract_z
_atom_site_occupancy
Ba1 Ba 0.0000 0.0000 0.0861 1
In1 In 0.0000 0.0000 0.3446 1
In2 In 0.0000 0.0000 0.5000 1
```

---

| no. | E_tot (eV/atom) |
| --- | --- |
| 1 | -3.712 |
| 2 | -3.305 |
| 3 | -2.851 |
| 4 | -2.950 |
| 5 | -2.782 |
| 6 | -2.397 |
| 7 | -2.617 |
| 8 | -2.730 |